Arrangement P

This record from Alexandria describes a relaxed SrLaS2 crystal. The functional is PBE.

As for the symmetry: I-42d, No. 122. The size of the total moment is 1.0 μB/f.u. For the volume, the calculation gives 36.0 A^3/atom.

Cell: 8.077 8.077 8.077 Å, 131.63 131.63 70.82°
Positions (direct):
Sr 0.000 0.000 0.000
Sr 0.750 0.250 0.500
La 0.250 0.750 0.500
La 0.500 0.500 0.000
S 0.138 0.625 0.013
S 0.375 0.388 0.513
S 0.612 0.125 0.987
S 0.875 0.862 0.487

Arrangement Q

This record from Alexandria describes a relaxed SrLaS2 crystal. The functional is PBE.

As for the symmetry: P6_3/mmc, No. 194. The size of the total moment is 0.0 μB/f.u. For the volume, the calculation gives 26.5 A^3/atom.

Cell: 4.158 4.158 14.164 Å, 90.00 90.00 120.00°
Positions (direct):
Sr 0.333 0.667 0.250
Sr 0.667 0.333 0.750
La 0.000 0.000 0.000
La 0.000 0.000 0.500
S 0.333 0.667 0.620
S 0.333 0.667 0.880
S 0.667 0.333 0.120
S 0.667 0.333 0.380

Short version: arrangement P is the least stable of them.